Computed, not measured: Sr2GaSnPt6 after structural relaxation at the PBE level of DFT.

Output
For the total magnetic moment, the calculation gives 0.0 μB/f.u. The calculated formation energy is -666 meV/atom.

a b c (Å): 6.864 6.864 8.791
angles (deg): 128.51 128.51 47.92
Element x y z (fractional)
Sr1 0.246 0.246 0.291
Sr2 0.754 0.754 0.709
Ga1 0.500 0.500 0.000
Sn1 0.000 0.000 0.500
Pt1 0.238 0.731 0.229
Pt2 0.253 0.253 0.900
Pt3 0.269 0.762 0.771
Pt4 0.731 0.238 0.229
Pt5 0.747 0.747 0.100
Pt6 0.762 0.269 0.771